The following is a DFT calculation (PBE) of a relaxed structure of MnBeVRe2.

SG: P4/mmm (123)
Magnetic moment (Bohr magnetons per cell): 0.00
Formation enthalpy at 0 K (meV per atom): 1410.6

a = 4.4255 Å, b = 4.1633 Å, c = 4.4255 Å
α = 90.00°, β = 90.00°, γ = 90.00°
Closest atoms and distances in Å follow each position.
Fractional positions:
Re: 0.5000 0.0000 0.0000  2 Mn 2.21
Re: 0.0000 0.0000 0.5000  2 Mn 2.21
V: 0.0000 0.5000 0.0000  2 Mn 2.08
Be: 0.5000 0.5000 0.5000  8 Re 3.04, 4 V 3.13
Mn: 0.0000 0.0000 0.0000  2 V 2.08, 4 Re 2.21

***

The following is a DFT calculation (PBE) of a relaxed structure of MnBeVRe.

SG: F-43m (216)
Magnetic moment (Bohr magnetons per cell): 2.70
Formation enthalpy at 0 K (meV per atom): -49.4

a = 4.1244 Å, b = 4.1244 Å, c = 4.1244 Å
α = 60.00°, β = 60.00°, γ = 60.00°
Closest atoms and distances in Å follow each position.
Fractional positions:
Mn: 0.5000 0.5000 0.5000  4 Be 2.53, 4 V 2.53
Be: 0.7500 0.7500 0.7500  4 Re 2.53, 4 Mn 2.53
V: 0.2500 0.2500 0.2500  4 Mn 2.53, 4 Re 2.53
Re: 0.0000 0.0000 0.0000  4 V 2.53, 4 Be 2.53

***

The following is a DFT calculation (PBE) of a relaxed structure of MnBeRh3.

SG: Pm-3m (221)
Magnetic moment (Bohr magnetons per cell): 0.25
Excess energy over the best structure of this formula in the dataset (eV per atom): 0.0000
Formation enthalpy at 0 K (meV per atom): 453.8

a = 4.0635 Å, b = 4.0635 Å, c = 4.0635 Å
α = 90.00°, β = 90.00°, γ = 90.00°
Closest atoms and distances in Å follow each position.
Fractional positions:
Be: 0.0000 0.0000 0.0000  6 Rh 2.03
Mn: 0.5000 0.5000 0.5000  12 Rh 2.87
Rh: 0.5000 0.0000 0.0000  2 Be 2.03
Rh: 0.0000 0.0000 0.5000  2 Be 2.03
Rh: 0.0000 0.5000 0.0000  2 Be 2.03

***

The following is a DFT calculation (PBE) of a relaxed structure of Mn3BeRh.

SG: Pm-3m (221)
Magnetic moment (Bohr magnetons per cell): 13.11
Excess energy over the best structure of this formula in the dataset (eV per atom): 0.6728
Formation enthalpy at 0 K (meV per atom): 1278.2

a = 4.7529 Å, b = 4.7529 Å, c = 4.7529 Å
α = 90.00°, β = 90.00°, γ = 90.00°
Closest atoms and distances in Å follow each position.
Fractional positions:
Mn: 0.0000 0.5000 0.0000  2 Rh 2.38
Mn: 0.0000 0.0000 0.5000  2 Rh 2.38
Mn: 0.5000 0.0000 0.0000  2 Rh 2.38
Be: 0.5000 0.5000 0.5000  12 Mn 3.36
Rh: 0.0000 0.0000 0.0000  6 Mn 2.38